NdHoSi4 | PBE-GGA | optimized geometry

Values from the calculation:
Total magnetization, μB per cell: 0.000
Formation energy without anion corrections, eV/atom: -0.4510
Calculated volume, Å³/cell: 499.1

Cell: 8.265 14.679 4.114 Å, 90.00 90.00 90.00°
Sites, in units of the cell vectors:
1 Nd 0.116 0.138 0.000
2 Nd 0.384 0.638 0.000
3 Nd 0.616 0.362 0.000
4 Nd 0.884 0.862 0.000
5 Ho 0.140 0.412 0.000
6 Ho 0.360 0.912 0.000
7 Ho 0.640 0.088 0.000
8 Ho 0.860 0.588 0.000
9 Si 0.024 0.294 0.500
10 Si 0.121 0.558 0.500
11 Si 0.126 0.964 0.500
12 Si 0.191 0.804 0.500
13 Si 0.309 0.304 0.500
14 Si 0.374 0.464 0.500
15 Si 0.379 0.058 0.500
16 Si 0.476 0.794 0.500
17 Si 0.524 0.206 0.500
18 Si 0.621 0.942 0.500
19 Si 0.626 0.536 0.500
20 Si 0.691 0.696 0.500
21 Si 0.809 0.196 0.500
22 Si 0.874 0.036 0.500
23 Si 0.879 0.442 0.500
24 Si 0.976 0.706 0.500

NdHo2Zn2Si2 | PBE-GGA | optimized geometry

Values from the calculation:
Total magnetization, μB per cell: 0.001
Formation energy without anion corrections, eV/atom: -0.4497
Calculated volume, Å³/cell: 162.2

Cell: 11.455 11.455 11.455 Å, 20.55 20.55 20.55°
Sites, in units of the cell vectors:
1 Nd 0.000 0.000 0.000
2 Ho 0.123 0.123 0.123
3 Ho 0.877 0.877 0.877
4 Zn 0.397 0.397 0.397
5 Zn 0.603 0.603 0.603
6 Si 0.268 0.268 0.268
7 Si 0.732 0.732 0.732

Nd3SmHo4 | PBE-GGA | optimized geometry

Values from the calculation:
E above lowest polymorph, eV/f.u.: 0.87
Calculated formation energy, eV per formula unit: 1.077
Total magnetization, μB per cell: 0.000
Calculated volume, Å³/cell: 266.2

Cell: 8.962 8.962 8.962 Å, 157.69 98.52 85.80°
Sites, in units of the cell vectors:
1 Nd 0.000 0.000 0.000
2 Nd 0.258 0.758 0.500
3 Nd 0.742 0.242 0.500
4 Sm 0.500 0.500 0.000
5 Ho 0.118 0.365 0.752
6 Ho 0.387 0.635 0.752
7 Ho 0.613 0.365 0.248
8 Ho 0.882 0.635 0.248